# 1
Here is an optimized crystal structure of Co2AsPb from the Alexandria database. Energies are from GGA-PBE.

Theoretical density   10.5 g/cm3
Energy above the lowest structure with this stoichiometry   1.28 eV per formula unit
E_form   434 meV/atom

Geometry as CIF:
```
data_Co2AsPb
_space_group_name_H-M_alt 'F m -3 m'
_space_group_IT_number 225
_space_group_name_Hall '-F 4 2 3'
_cell_length_a 6.332
_cell_length_b 6.332
_cell_length_c 6.332
_cell_angle_alpha 90.00
_cell_angle_beta 90.00
_cell_angle_gamma 90.00
loop_
_atom_site_label
_atom_site_fract_x
_atom_site_fract_y
_atom_site_fract_z
_atom_site_occupancy
Co1 0.250 0.250 0.250 1
As1 0.000 0.000 0.000 1
Pb1 0.000 0.000 0.500 1
```


# 2
Here is an optimized crystal structure of DyTm2Rh from the Alexandria database. Energies are from GGA-PBE.

Theoretical density   9.7 g/cm3
Energy above the lowest structure with this stoichiometry   0.12 eV per formula unit
E_form   -526 meV/atom

Geometry as CIF:
```
data_DyTm2Rh
_space_group_name_H-M_alt 'C m c m'
_space_group_IT_number 63
_space_group_name_Hall '-C 2c 2'
_cell_length_a 3.774
_cell_length_b 11.856
_cell_length_c 9.233
_cell_angle_alpha 90.00
_cell_angle_beta 90.00
_cell_angle_gamma 90.00
loop_
_atom_site_label
_atom_site_fract_x
_atom_site_fract_y
_atom_site_fract_z
_atom_site_occupancy
Dy1 0.000 0.074 0.250 1
Tm1 0.000 0.361 0.067 1
Rh1 0.000 0.246 0.750 1
```


# 3
Here is an optimized crystal structure of Cs2SrLi2Br6 from the Alexandria database. Energies are from GGA-PBE.

Theoretical density   3.2 g/cm3
Raw formation energy   -1772 meV/atom

Geometry as CIF:
```
data_Cs2SrLi2Br6
_space_group_name_H-M_alt 'C 1 2/m 1'
_space_group_IT_number 12
_cell_length_a 13.754
_cell_length_b 8.146
_cell_length_c 8.813
_cell_angle_alpha 90.00
_cell_angle_beta 116.53
_cell_angle_gamma 90.00
loop_
_space_group_symop_operation_xyz
'x,y,z'
'-x,-y,-z'
'-x,y,-z'
'x,-y,z'
'x+1/2,y+1/2,z'
'-x+1/2,-y+1/2,-z'
'-x+1/2,y+1/2,-z'
'x+1/2,-y+1/2,z'
loop_
_atom_site_label
_atom_site_fract_x
_atom_site_fract_y
_atom_site_fract_z
_atom_site_occupancy
Cs1 0.207 0.000 0.173 1
Sr1 0.000 0.000 0.500 1
Li1 0.060 0.500 0.265 1
Br1 0.046 0.249 0.787 1
Br2 0.244 0.000 0.610 1
```


# 4
Here is an optimized crystal structure of DyThW from the Alexandria database. Energies are from GGA-PBE.

Theoretical density   12.4 g/cm3
E_form   469 meV/atom

Geometry as CIF:
```
data_DyThW
_space_group_name_H-M_alt 'P 4/n m m'
_space_group_IT_number 129
_cell_length_a 3.946
_cell_length_b 3.946
_cell_length_c 9.950
_cell_angle_alpha 90.00
_cell_angle_beta 90.00
_cell_angle_gamma 90.00
loop_
_space_group_symop_operation_xyz
'x,y,z'
'-x,-y,-z'
'-y+1/2,x,z'
'y+1/2,-x,-z'
'-x+1/2,-y+1/2,z'
'x+1/2,y+1/2,-z'
'y,-x+1/2,z'
'-y,x+1/2,-z'
'x+1/2,-y,-z'
'-x+1/2,y,z'
'-y,-x,-z'
'y,x,z'
'-x,y+1/2,-z'
'x,-y+1/2,z'
'y+1/2,x+1/2,-z'
'-y+1/2,-x+1/2,z'
loop_
_atom_site_label
_atom_site_fract_x
_atom_site_fract_y
_atom_site_fract_z
_atom_site_occupancy
Dy1 0.250 0.250 0.108 1
Th1 0.250 0.250 0.710 1
W1 0.250 0.250 0.449 1
```


How do the records compare in VASP energy? In the order shown, they have -5.21; -5.75; -3.34; -7.86 eV/atom.
How do the records compare in spin magnetization? In the order shown, they have 9.67; 0.00; 0.00; 0.00 μB/cell.